## La3Zn3Si2SbO14 (GGA-PBE)

Data for a geometry-optimized La3Zn3Si2SbO14 structure.

Computed properties:
Raw total energy   -7.00 eV per atom

abc: 8.2360 8.2360 5.1497
angles: 90.00 90.00 120.00
Space group P321 (No. 150)
Asymmetric unit:
La1 0.0000 0.4272 0.0000 [3 per cell]
Zn1 0.0000 0.7589 0.5000 [3 per cell]
Si1 0.3333 0.6667 0.4416 [2 per cell]
Sb1 0.0000 0.0000 0.0000 [1 per cell]
O1 0.0851 0.2297 0.7814 [6 per cell]
O2 0.1612 0.6828 0.3049 [6 per cell]
O3 0.3333 0.6667 0.7593 [2 per cell]


## La3Zn3Si2SbO14 (GGA-PBE)

Data for a geometry-optimized La3Zn3Si2SbO14 structure.

Computed properties:
Raw total energy   -7.00 eV per atom

abc: 14.277 8.244 5.163
angles: 90.00 90.03 90.00
Space group C2 (No. 5)
Asymmetric unit:
La1 0.000 0.000 0.000 [2 per cell]
La2 0.213 0.360 0.001 [4 per cell]
Zn1 0.000 0.331 0.500 [2 per cell]
Zn2 0.120 0.695 0.502 [4 per cell]
Si1 0.167 0.074 0.557 [4 per cell]
Sb1 0.000 0.574 0.000 [2 per cell]
O1 0.041 0.760 0.222 [4 per cell]
O2 0.072 0.417 0.220 [4 per cell]
O3 0.080 0.174 0.695 [4 per cell]
O4 0.116 0.546 0.786 [4 per cell]
O5 0.160 0.894 0.695 [4 per cell]
O6 0.166 0.073 0.241 [4 per cell]
O7 0.239 0.655 0.308 [4 per cell]


## La3SmSe3O4 (GGA-PBE)

Data for a geometry-optimized La3SmSe3O4 structure.

Computed properties:
Raw total energy   -7.38 eV per atom
E above lowest polymorph   0.0045 eV per atom

abc: 8.514 4.066 12.996
angles: 90.00 90.00 90.00
Space group Amm2 (No. 38)
Asymmetric unit:
La1 0.000 0.000 0.000 [2 per cell]
La2 0.264 0.000 0.670 [4 per cell]
Sm1 0.500 0.000 0.988 [2 per cell]
Se1 0.149 0.000 0.342 [4 per cell]
Se2 0.500 0.000 0.304 [2 per cell]
O1 0.000 0.000 0.601 [2 per cell]
O2 0.260 0.000 0.072 [4 per cell]
O3 0.500 0.000 0.571 [2 per cell]


## La3SmSe3O4 (GGA-PBE)

Data for a geometry-optimized La3SmSe3O4 structure.

Computed properties:
Raw total energy   -7.38 eV per atom
E above lowest polymorph   0.0000 eV per atom

abc: 8.478 4.050 13.067
angles: 90.00 90.00 90.00
Space group Amm2 (No. 38)
Asymmetric unit:
La1 0.000 0.000 0.000 [2 per cell]
La2 0.240 0.000 0.687 [4 per cell]
Sm1 0.500 0.000 0.020 [2 per cell]
Se1 0.000 0.000 0.313 [2 per cell]
Se2 0.351 0.000 0.363 [4 per cell]
O1 0.000 0.000 0.589 [2 per cell]
O2 0.248 0.000 0.090 [4 per cell]
O3 0.500 0.000 0.614 [2 per cell]


## La2ZnSe2O2 (GGA-PBE)

Data for a geometry-optimized La2ZnSe2O2 structure.

Computed properties:
Raw total energy   -6.43 eV per atom

abc: 22.943 17.781 5.736
angles: 90.00 90.00 90.00
Space group Cmce (No. 64)
Asymmetric unit:
La1 0.000 0.180 0.226 [8 per cell]
La2 0.125 0.181 0.732 [16 per cell]
La3 0.250 0.181 0.250 [8 per cell]
Zn1 0.070 0.000 0.500 [8 per cell]
Zn2 0.189 0.000 0.000 [8 per cell]
Se1 0.000 0.084 0.716 [8 per cell]
Se2 0.126 0.084 0.237 [16 per cell]
Se3 0.250 0.084 0.750 [8 per cell]
O1 0.063 0.250 0.477 [16 per cell]
O2 0.188 0.248 0.992 [16 per cell]


## LaSm3O7 (GGA-PBE)

Data for a geometry-optimized LaSm3O7 structure.

Computed properties:
Raw total energy   -7.85 eV per atom

abc: 8.125 3.626 11.273
angles: 90.00 90.00 90.00
Space group Amm2 (No. 38)
Asymmetric unit:
La1 0.000 0.000 0.000 [2 per cell]
Sm1 0.242 0.000 0.726 [4 per cell]
Sm2 0.500 0.000 0.016 [2 per cell]
O1 0.000 0.000 0.352 [2 per cell]
O2 0.000 0.000 0.631 [2 per cell]
O3 0.250 0.000 0.103 [4 per cell]
O4 0.406 0.000 0.368 [4 per cell]
O5 0.500 0.000 0.642 [2 per cell]


## LaSm2O4 (GGA-PBE)

Data for a geometry-optimized LaSm2O4 structure.

Computed properties:
Raw total energy   -8.06 eV per atom

abc: 9.939 9.939 9.939
angles: 90.00 90.00 90.00
Space group Fd-3m (No. 227, origin choice 2)
Asymmetric unit:
La1 0.125 0.125 0.125 [8 per cell]
Sm1 0.000 0.000 0.500 [16 per cell]
O1 0.011 0.011 0.739 [32 per cell]


## LaSmTeO2 (GGA-PBE)

Data for a geometry-optimized LaSmTeO2 structure.

Computed properties:
Raw total energy   -7.50 eV per atom

abc: 4.052 4.052 12.873
angles: 90.00 90.00 90.00
Space group I4mm (No. 107)
Asymmetric unit:
La1 0.000 0.000 0.000 [2 per cell]
Sm1 0.000 0.000 0.318 [2 per cell]
Te1 0.000 0.000 0.661 [2 per cell]
O1 0.000 0.500 0.406 [4 per cell]


## LaZn3Sn4O12 (GGA-PBE)

Data for a geometry-optimized LaZn3Sn4O12 structure.

Computed properties:
Raw total energy   -5.90 eV per atom

abc: 7.851 7.851 7.851
angles: 90.00 90.00 90.00
Space group Im-3 (No. 204)
Asymmetric unit:
La1 0.000 0.000 0.000 [2 per cell]
Zn1 0.000 0.000 0.500 [6 per cell]
Sn1 0.250 0.250 0.250 [8 per cell]
O1 0.000 0.172 0.303 [24 per cell]


## Sr2LaTa3O11 (GGA-PBE)

Data for a geometry-optimized Sr2LaTa3O11 structure.

Computed properties:
Raw total energy   -8.88 eV per atom

abc: 3.968 5.681 21.226
angles: 90.00 90.00 90.00
Space group Immm (No. 71)
Asymmetric unit:
Sr1 0.000 0.000 0.201 [4 per cell]
La1 0.000 0.500 0.000 [2 per cell]
Ta1 0.000 0.000 0.362 [4 per cell]
Ta2 0.000 0.500 0.500 [2 per cell]
O1 0.000 0.000 0.000 [2 per cell]
O2 0.000 0.237 0.439 [8 per cell]
O3 0.000 0.242 0.303 [8 per cell]
O4 0.000 0.500 0.122 [4 per cell]


## La2Ta2O5 (GGA-PBE)

Data for a geometry-optimized La2Ta2O5 structure.

Computed properties:
Raw total energy   -8.59 eV per atom
E above lowest polymorph   0.4397 eV per atom

abc: 3.512 3.512 10.527
angles: 90.00 90.00 90.00
Space group P4/mmm (No. 123)
Asymmetric unit:
La1 0.000 0.000 0.234 [2 per cell]
Ta1 0.500 0.500 0.000 [1 per cell]
Ta2 0.500 0.500 0.500 [1 per cell]
O1 0.000 0.000 0.000 [1 per cell]
O2 0.000 0.500 0.387 [4 per cell]


## LaTa3O9 (GGA-PBE)

Data for a geometry-optimized LaTa3O9 structure.

Computed properties:
Raw total energy   -9.57 eV per atom

abc: 6.579 7.675 12.490
angles: 90.00 90.00 90.00
Space group Pnma (No. 62)
Asymmetric unit:
La1 0.050 0.250 0.023 [4 per cell]
Ta1 0.000 0.000 0.500 [4 per cell]
Ta2 0.216 0.003 0.784 [8 per cell]
O1 0.025 0.039 0.657 [8 per cell]
O2 0.066 0.750 0.524 [4 per cell]
O3 0.093 0.018 0.165 [8 per cell]
O4 0.186 0.250 0.823 [4 per cell]
O5 0.204 0.750 0.796 [4 per cell]
O6 0.215 0.530 0.958 [8 per cell]


## La3TaO7 (GGA-PBE)

Data for a geometry-optimized La3TaO7 structure.

Computed properties:
Raw total energy   -8.96 eV per atom

abc: 11.055 7.564 7.783
angles: 90.00 90.00 90.00
Space group Cmcm (No. 63)
Asymmetric unit:
La1 0.000 0.000 0.000 [4 per cell]
La2 0.228 0.296 0.250 [8 per cell]
Ta1 0.000 0.500 0.000 [4 per cell]
O1 0.000 0.436 0.250 [4 per cell]
O2 0.125 0.313 0.533 [16 per cell]
O3 0.129 0.023 0.250 [8 per cell]


## LaTa2O4 (GGA-PBE)

Data for a geometry-optimized LaTa2O4 structure.

Computed properties:
Raw total energy   -9.01 eV per atom

abc: 9.239 9.239 9.239
angles: 90.00 90.00 90.00
Space group Fd-3m (No. 227, origin choice 2)
Asymmetric unit:
La1 0.125 0.125 0.125 [8 per cell]
Ta1 0.000 0.000 0.500 [16 per cell]
O1 0.018 0.018 0.732 [32 per cell]


## LaTaO4 (GGA-PBE)

Data for a geometry-optimized LaTaO4 structure.

Computed properties:
Raw total energy   -9.35 eV per atom

abc: 7.630 5.554 7.798
angles: 90.00 101.13 90.00
Space group P2_1/c (No. 14)
Asymmetric unit:
La1 0.155 0.228 0.402 [4 per cell]
Ta1 0.333 0.733 0.198 [4 per cell]
O1 0.116 0.515 0.168 [4 per cell]
O2 0.164 0.509 0.635 [4 per cell]
O3 0.334 0.660 0.947 [4 per cell]
O4 0.444 0.087 0.795 [4 per cell]